DFT (PBEsol) results for a relaxed structure of Lu3Sn. Values from VASP.

Geometry as Quantum ESPRESSO input:
```
&SYSTEM
  ibrav = 0, nat = 8, ntyp = 2
/
ATOMIC_SPECIES
Lu 174.97 Lu.upf
Sn 118.71 Sn.upf
CELL_PARAMETERS angstrom
6.568 0.000 0.000
-3.284 5.688 0.000
0.000 0.000 5.362
ATOMIC_POSITIONS crystal
Lu 0.170 0.340 0.250
Lu 0.170 0.830 0.250
Lu 0.340 0.170 0.750
Lu 0.660 0.830 0.250
Lu 0.830 0.170 0.750
Lu 0.830 0.660 0.750
Sn 0.333 0.667 0.750
Sn 0.667 0.333 0.250
```

Values from the calculation:
Its density of states at the Fermi level is 9.370 states/eV/cell. For the total energy, the calculation gives -41.0 eV per cell. The energy relative to the elements is -1.64 eV per formula unit.



DFT (PBEsol) results for a relaxed structure of Zr2CdAu. Values from VASP.

Geometry as Quantum ESPRESSO input:
```
&SYSTEM
  ibrav = 0, nat = 4, ntyp = 3
/
ATOMIC_SPECIES
Zr 91.22 Zr.upf
Cd 112.41 Cd.upf
Au 196.97 Au.upf
CELL_PARAMETERS angstrom
3.036 0.000 0.000
0.000 3.036 0.000
0.000 0.000 8.516
ATOMIC_POSITIONS crystal
Zr 0.000 0.000 0.237
Zr 0.000 0.000 0.763
Cd 0.500 0.500 0.500
Au 0.500 0.500 0.000
```

Values from the calculation:
Its density of states at the Fermi level is 3.724 states/eV/cell. For the total energy, the calculation gives -24.7 eV per cell. The energy relative to the elements is -1.38 eV per formula unit.



DFT (PBEsol) results for a relaxed structure of Mn2SeF. Values from VASP.

Geometry as Quantum ESPRESSO input:
```
&SYSTEM
  ibrav = 0, nat = 4, ntyp = 3
/
ATOMIC_SPECIES
Mn 54.94 Mn.upf
Se 78.96 Se.upf
F 19.00 F.upf
CELL_PARAMETERS angstrom
0.000 3.062 3.062
3.062 0.000 3.062
3.062 3.062 0.000
ATOMIC_POSITIONS crystal
Mn 0.250 0.250 0.250
Mn 0.750 0.750 0.750
Se 0.000 0.000 0.000
F 0.500 0.500 0.500
```

Values from the calculation:
Its density of states at the Fermi level is 3.785 states/eV/cell. Its uncorrected formation energy is -441 meV/atom. For the total energy, the calculation gives -27.1 eV per cell.



DFT (PBEsol) results for a relaxed structure of RhC3. Values from VASP.

Geometry as Quantum ESPRESSO input:
```
&SYSTEM
  ibrav = 0, nat = 4, ntyp = 2
/
ATOMIC_SPECIES
Rh 102.91 Rh.upf
C 12.01 C.upf
CELL_PARAMETERS angstrom
-2.039 2.039 2.039
2.039 -2.039 2.039
2.039 2.039 -2.039
ATOMIC_POSITIONS crystal
Rh 0.000 0.000 0.000
C 0.000 0.500 0.500
C 0.500 0.000 0.500
C 0.500 0.500 0.000
```

Values from the calculation:
Its density of states at the Fermi level is 2.141 states/eV/cell. For the total energy, the calculation gives -28.1 eV per cell. The energy relative to the elements is 8.95 eV per formula unit.



DFT (PBEsol) results for a relaxed structure of Ba6Ho2Al2Rh2O15. Values from VASP.

Geometry as Quantum ESPRESSO input:
```
&SYSTEM
  ibrav = 0, nat = 27, ntyp = 5
/
ATOMIC_SPECIES
Ba 137.33 Ba.upf
Ho 164.93 Ho.upf
Al 26.98 Al.upf
Rh 102.91 Rh.upf
O 16.00 O.upf
CELL_PARAMETERS angstrom
14.689 0.000 0.000
0.000 2.917 5.064
0.000 -2.917 5.064
ATOMIC_POSITIONS crystal
Ba 0.000 0.000 0.000
Ba 0.146 0.675 0.675
Ba 0.311 0.343 0.343
Ba 0.500 0.028 0.028
Ba 0.689 0.343 0.343
Ba 0.854 0.675 0.675
Ho 0.251 0.009 0.009
Ho 0.749 0.009 0.009
Al 0.385 0.679 0.679
Al 0.615 0.679 0.679
Rh 0.084 0.338 0.338
Rh 0.916 0.338 0.338
O 0.000 0.020 0.484
O 0.000 0.484 0.020
O 0.160 0.185 0.662
O 0.160 0.662 0.185
O 0.168 0.182 0.182
O 0.338 0.361 0.854
O 0.338 0.854 0.361
O 0.361 0.850 0.850
O 0.500 0.634 0.634
O 0.639 0.850 0.850
O 0.662 0.361 0.854
O 0.662 0.854 0.361
O 0.832 0.182 0.182
O 0.840 0.185 0.662
O 0.840 0.662 0.185
```

Values from the calculation:
Its density of states at the Fermi level is 5.156 states/eV/cell. Its uncorrected formation energy is -2595 meV/atom. For the total energy, the calculation gives -196.0 eV per cell.



DFT (PBEsol) results for a relaxed structure of Ti3CoS6. Values from VASP.

Geometry as Quantum ESPRESSO input:
```
&SYSTEM
  ibrav = 0, nat = 10, ntyp = 3
/
ATOMIC_SPECIES
Ti 47.87 Ti.upf
Co 58.93 Co.upf
S 32.06 S.upf
CELL_PARAMETERS angstrom
2.861 1.652 5.487
-2.861 1.652 5.487
0.000 -3.304 5.487
ATOMIC_POSITIONS crystal
Ti 0.000 0.000 0.000
Ti 0.330 0.330 0.330
Ti 0.670 0.670 0.670
Co 0.500 0.500 0.500
S 0.094 0.420 0.754
S 0.246 0.906 0.580
S 0.420 0.754 0.094
S 0.580 0.246 0.906
S 0.754 0.094 0.420
S 0.906 0.580 0.246
```

Values from the calculation:
Its density of states at the Fermi level is 5.034 states/eV/cell. Its uncorrected formation energy is -1293 meV/atom. For the total energy, the calculation gives -71.9 eV per cell.